5
Lattice="4.784 0.000 0.000 0.000 4.600 0.000 0.000 0.000 4.784" Properties=species:S:1:pos:R:3 comment="GGA+U TaCoIr2O, relaxed" energy_ev_per_fu=-29.3 vol_a3_per_cell=105.3 magnetic_moment_mub_per_cell=3.31 pbc="T T T"
Ir 0.000 0.000 2.392
Ir 2.392 0.000 0.000
Co 0.000 2.300 0.000
O 2.392 2.300 2.392
Ta 0.000 0.000 0.000